No. 1
FeW2Cl, optimized geometry, DFT PBE; density = 12.322 g cm⁻³; DOS at the Fermi energy = 0.98 states/eV/atom; offset from the most stable computed form = 551 meV/atom; calculated total energy = -8.0951 eV per atom
1.0
2.903 0.000 0.000
0.000 4.676 0.000
0.000 0.000 4.557
W Fe Cl
2 1 1
direct
0.500 0.500 0.000
0.000 0.000 0.000
0.000 0.500 0.500
0.500 0.000 0.500



No. 2
FeWCl5, optimized geometry, DFT PBE; density = 4.007 g cm⁻³; DOS at the Fermi energy = 0.52 states/eV/atom; calculated total energy = -5.0829 eV per atom
1.0
-6.103 0.345 1.141
-4.517 -5.320 -5.605
-0.988 -9.871 9.013
Cl Fe W
20 4 4
direct
0.905 0.989 0.853
0.222 0.791 0.624
0.103 0.593 0.853
0.039 0.174 0.647
0.669 0.409 0.853
0.513 0.209 0.124
0.961 0.826 0.353
0.578 0.591 0.353
0.394 0.011 0.353
0.287 0.174 0.853
0.196 0.407 0.353
0.778 0.209 0.376
0.095 0.011 0.147
0.422 0.409 0.647
0.606 0.989 0.647
0.804 0.593 0.647
0.331 0.591 0.147
0.487 0.791 0.876
0.897 0.407 0.147
0.713 0.826 0.147
0.947 0.605 0.250
0.053 0.395 0.750
0.656 0.188 0.750
0.344 0.812 0.250
0.432 0.637 0.750
0.277 0.946 0.750
0.568 0.363 0.250
0.723 0.054 0.250



No. 3
FeW3Cl, optimized geometry, DFT PBE; density = 12.988 g cm⁻³; DOS at the Fermi energy = 1.38 states/eV/atom; offset from the most stable computed form = 16 meV/atom; calculated total energy = -8.0186 eV per atom
1.0
4.348 0.000 0.000
0.000 4.348 0.000
0.000 0.000 4.348
Cl W Fe
1 3 1
direct
0.000 0.000 0.000
0.000 0.500 0.000
0.000 0.000 0.500
0.500 0.000 0.000
0.500 0.500 0.500